Density functional theory data (GGA-PBE) for crystalline GaCuPt2 at its relaxed geometry.

a b c (Å): 4.3225 4.3225 7.8737
angles (deg): 90.00 90.00 120.00
Last column: nearest neighbours and their distance in Å.
Space group P6_3/mmc (No. 194)
One atom of each set of equivalent atoms:
Ga1 0.3333 0.6667 0.2500 [2 per cell]  8 Pt 2.60-2.83
Cu1 0.0000 0.0000 0.0000 [2 per cell]  6 Pt 2.57
Pt1 0.3333 0.6667 0.5797 [4 per cell]  3 Cu 2.57, 4 Ga 2.60-2.83, 4 Pt 2.68-2.79

## Properties
Spin magnetization ... 0.0013 μB/atom
Energy ... -4.9637 eV/atom